Entry 1:
## K4Pm3YSe8 (PBE-GGA)

Data for a relaxed K4Pm3YSe8 crystal.

Properties
ρ ... 4.43 Mg/m³
Size of the total moment ... 0.000 μB per cell
DOS(E_F) ... 0.000 states/eV per atom
Space-group type ... R-3m
Calculated total energy ... -5.0730 eV/atom

Cell lengths 8.5894, 9.1589, 8.5899 Å; angles 117.99, 120.00, 90.00 degrees
Sites, in units of the cell vectors:
1 K 0.0000 0.0000 0.5000
2 Se 0.7665 0.2919 0.5330
3 K 0.0000 0.0000 0.0000
4 Pm 0.0000 0.5000 0.5000
5 Pm 0.5000 0.5000 0.5000
6 Se 0.7369 0.7105 0.4739
7 Se 0.7665 0.2919 0.0252
8 Y 0.0000 0.5000 0.0000
9 K 0.5000 0.0000 0.0000
10 Se 0.2631 0.2895 0.5261
11 Se 0.2587 0.2919 0.0252
12 Se 0.2335 0.7081 0.4670
13 Se 0.2335 0.7081 0.9748
14 Pm 0.5000 0.5000 0.0000
15 K 0.5000 0.0000 0.5000
16 Se 0.7413 0.7081 0.9748

Entry 2:
## K2PmYSe4 (PBE-GGA)

Data for a relaxed K2PmYSe4 crystal.

Properties
ρ ... 4.29 Mg/m³
Size of the total moment ... 0.000 μB per cell
DOS(E_F) ... 0.000 states/eV per atom
Space-group type ... P2/m
Calculated total energy ... -5.1828 eV/atom

Cell lengths 4.2698, 7.3932, 8.0789 Å; angles 107.75, 90.00, 90.00 degrees
Sites, in units of the cell vectors:
1 Se 0.0000 0.7415 0.2088
2 K 0.5000 0.0000 0.5000
3 Se 0.5000 0.2302 0.2064
4 Pm 0.5000 0.5000 0.0000
5 K 0.0000 0.5000 0.5000
6 Y 0.0000 0.0000 0.0000
7 Se 0.5000 0.7698 0.7936
8 Se 0.0000 0.2585 0.7912

Entry 3:
## K3Pm2YSe6 (PBE-GGA)

Data for a relaxed K3Pm2YSe6 crystal.

Properties
ρ ... 4.38 Mg/m³
Size of the total moment ... 0.000 μB per cell
DOS(E_F) ... 0.000 states/eV per atom
Space-group type ... C2/m
Calculated total energy ... -5.1101 eV/atom

Cell lengths 7.4234, 7.4234, 8.0851 Å; angles 98.81, 98.81, 120.00 degrees
Sites, in units of the cell vectors:
1 Se 0.3971 0.0694 0.2083
2 K 0.1676 0.8324 0.5000
3 K 0.5000 0.5000 0.5000
4 Se 0.9306 0.6029 0.7917
5 Se 0.7419 0.7419 0.2084
6 Pm 0.6665 0.3335 0.0000
7 K 0.8324 0.1676 0.5000
8 Se 0.6029 0.9306 0.7917
9 Se 0.0694 0.3971 0.2083
10 Y 0.0000 0.0000 0.0000
11 Pm 0.3335 0.6665 0.0000
12 Se 0.2581 0.2581 0.7916

Entry 4:
## K3Pm3YSe8 (PBE-GGA)

Data for a relaxed K3Pm3YSe8 crystal.

Properties
ρ ... 4.30 Mg/m³
Size of the total moment ... 0.000 μB per cell
DOS(E_F) ... 0.682 states/eV per atom
Space-group type ... R-3m
Calculated total energy ... -5.1292 eV/atom

Cell lengths 8.5085, 8.5133, 9.2586 Å; angles 117.42, 90.00, 119.98 degrees
Sites, in units of the cell vectors:
1 Pm 0.5000 0.5000 0.5000
2 Se 0.2593 0.0277 0.2962
3 Pm 0.5000 0.0000 0.5000
4 Se 0.7684 0.0277 0.2961
5 Se 0.2316 0.4632 0.7038
6 K 0.0000 0.0000 0.0000
7 Se 0.7368 0.4736 0.7104
8 Se 0.7407 0.9723 0.7038
9 K 0.5000 0.5000 0.0000
10 Y 0.0000 0.0000 0.5000
11 Se 0.2316 0.9723 0.7039
12 Se 0.2632 0.5264 0.2896
13 K 0.0000 0.5000 0.0000
14 Pm 0.0000 0.5000 0.5000
15 Se 0.7684 0.5368 0.2962

Entry 5:
## KPmZnSe3 (PBE-GGA)

Data for a relaxed KPmZnSe3 crystal.

Properties
ρ ... 4.39 Mg/m³
Size of the total moment ... 0.000 μB per cell
DOS(E_F) ... 0.000 states/eV per atom
Space-group type ... P2_1/m
Calculated total energy ... -4.3059 eV/atom

Cell lengths 4.2137, 9.1885, 9.9161 Å; angles 106.39, 90.00, 90.00 degrees
Sites, in units of the cell vectors:
1 Se 0.7500 0.8962 0.1430
2 K 0.2500 0.2028 0.2307
3 Se 0.2500 0.5450 0.8398
4 K 0.7500 0.7972 0.7693
5 Se 0.7500 0.1984 0.5306
6 Pm 0.2500 0.6705 0.1439
7 Pm 0.7500 0.3295 0.8561
8 Zn 0.2500 0.0829 0.6061
9 Zn 0.7500 0.9171 0.3939
10 Se 0.2500 0.8016 0.4694
11 Se 0.2500 0.1038 0.8570
12 Se 0.7500 0.4550 0.1602

Entry 6:
## K2Pm2ZrSe6 (PBE-GGA)

Data for a relaxed K2Pm2ZrSe6 crystal.

Properties
ρ ... 4.39 Mg/m³
Size of the total moment ... 0.000 μB per cell
DOS(E_F) ... 0.000 states/eV per atom
Space-group type ... C2/m
Calculated total energy ... -5.3750 eV/atom

Cell lengths 7.1840, 7.1840, 8.2292 Å; angles 98.70, 98.70, 119.43 degrees
Sites, in units of the cell vectors:
1 K 0.1708 0.8292 0.0000
2 Se 0.9301 0.6181 0.2977
3 Se 0.3819 0.0699 0.7023
4 Se 0.2412 0.2412 0.2994
5 Se 0.7588 0.7588 0.7006
6 K 0.8292 0.1708 0.0000
7 Zr 0.0000 0.0000 0.5000
8 Pm 0.6667 0.3333 0.5000
9 Se 0.6181 0.9301 0.2977
10 Se 0.0699 0.3819 0.7023
11 Pm 0.3333 0.6667 0.5000

Which value of size of the total moment does entry 2 give?
0.000 μB per cell